Entry 1:
{
  "formula": "CoRe3",
  "functional": "PBE",
  "state": "relaxed",
  "lattice_angstrom": [[-0.397, 1.833, -8.665], [-2.523, 0.125, -8.498], [-2.852, 2.775, -7.923]],
  "species": ["Re", "Re", "Re", "Co"],
  "frac_coords": [[0.500, 0.500, 0.500], [0.253, 0.253, 0.253], [0.747, 0.747, 0.747], [0.000, 0.000, 0.000]],
  "m_tot_mub_per_atom": 0.15,
  "dos_ef_per_ev_fu": 3.93,
  "formation_energy_ev_per_atom": 0.116,
  "volume_a3_per_atom": 14.10,
  "space_group": "R-3m, No. 166"
}



Entry 2:
{
  "formula": "Ce3CoCl2",
  "functional": "PBE",
  "state": "relaxed",
  "lattice_angstrom": [[-1.392, 6.615, -1.933], [-4.711, 2.904, 4.631], [3.826, 5.248, 2.417]],
  "species": ["Ce", "Ce", "Ce", "Ce", "Ce", "Ce", "Cl", "Cl", "Cl", "Cl", "Co", "Co"],
  "frac_coords": [[0.069, 0.773, 0.362], [0.569, 0.227, 0.362], [0.931, 0.227, 0.638], [0.711, 0.788, 0.000], [0.289, 0.212, 0.000], [0.431, 0.773, 0.638], [0.154, 0.500, 0.693], [0.000, 0.000, 0.000], [0.846, 0.500, 0.307], [0.500, 0.500, 0.000], [0.334, 0.000, 0.332], [0.666, 0.000, 0.668]],
  "formation_energy_uncorrected_ev_per_atom": -1.0139,
  "m_tot_mub_per_atom": 0.42,
  "dos_ef_per_ev_fu": 14.29,
  "volume_a3_per_atom": 23.82,
  "space_group": "C2/m, No. 12"
}



Entry 3:
{
  "formula": "Cr2GaAu",
  "functional": "PBE",
  "state": "relaxed",
  "lattice_angstrom": [[-1.962, 3.655, 5.575], [4.067, -3.948, 4.020], [2.981, 1.459, 4.423]],
  "species": ["Cr", "Cr", "Cr", "Cr", "Au", "Au", "Ga", "Ga"],
  "frac_coords": [[0.375, 0.389, 0.750], [0.611, 0.125, 0.250], [0.139, 0.625, 0.250], [0.875, 0.861, 0.750], [0.750, 0.250, 0.500], [0.000, 0.000, 0.000], [0.250, 0.750, 0.500], [0.500, 0.500, 0.000]],
  "m_tot_mub_per_atom": 0.00,
  "dos_ef_per_ev_fu": 6.13,
  "formation_energy_ev_per_atom": 0.721,
  "volume_a3_per_atom": 15.31,
  "space_group": "I-42d, No. 122"
}



Entry 4:
{
  "formula": "BaSm2RhO5",
  "functional": "PBE",
  "state": "relaxed",
  "lattice_angstrom": [[3.944, 0.000, 0.000], [0.000, 5.906, 0.000], [-1.972, -2.953, 5.967]],
  "species": ["Rh", "O", "O", "O", "O", "O", "Sm", "Sm", "Ba"],
  "frac_coords": [[0.500, 0.000, 0.000], [0.347, 0.605, 0.695], [0.347, 0.089, 0.695], [0.653, 0.395, 0.305], [0.000, 0.000, 0.000], [0.653, 0.911, 0.305], [0.203, 0.203, 0.406], [0.797, 0.797, 0.594], [0.000, 0.500, 0.000]],
  "formation_energy_uncorrected_ev_per_atom": -2.4580,
  "m_tot_mub_per_atom": 0.15,
  "dos_ef_per_ev_fu": 1.93,
  "volume_a3_per_atom": 15.44,
  "space_group": "Immm, No. 71"
}